Entry 1:
Density functional theory data (PBE-GGA) for an optimized crystal structure of Hf2Ti6Al. Values from VASP.

Properties
- E_form (kJ/mol of formula units) = 293

Structure (Quantum ESPRESSO input):
```
&SYSTEM
  ibrav = 0, nat = 9, ntyp = 3
/
ATOMIC_SPECIES
Hf 178.49 Hf.upf
Ti 47.87 Ti.upf
Al 26.98 Al.upf
CELL_PARAMETERS angstrom
-2.3919 2.7807 6.5607
2.3919 -2.7807 6.5607
2.3919 2.7807 -6.5607
ATOMIC_POSITIONS angstrom
Hf 0.0000 0.0000 1.4243
Hf 0.0000 0.0000 11.6970
Ti 2.3919 1.4013 -2.5625
Ti 2.3919 1.3591 0.0000
Ti 2.3919 1.4013 2.5625
Ti 0.0000 1.3794 3.9982
Ti 0.0000 1.4216 6.5607
Ti 0.0000 1.3794 9.1232
Al 0.0000 2.7807 0.0000
```

---

Entry 2:
Density functional theory data (PBE-GGA) for an optimized crystal structure of SmRe4Si4. Values from VASP.

Properties
- total DFT energy (no corrections) (hartree per atom) = -0.3212

Structure (Quantum ESPRESSO input):
```
&SYSTEM
  ibrav = 0, nat = 18, ntyp = 3
/
ATOMIC_SPECIES
Sm 150.36 Sm.upf
Re 186.21 Re.upf
Si 28.09 Si.upf
CELL_PARAMETERS angstrom
8.1161 0.0000 0.0000
0.0000 8.1161 0.0000
0.0000 0.0000 4.6855
ATOMIC_POSITIONS angstrom
Sm 2.0290 2.0290 1.1714
Sm 6.0871 6.0871 3.5142
Re 1.0097 7.0728 3.0903
Re 1.0433 5.0678 0.7475
Re 3.0147 7.1064 0.7475
Re 3.0483 5.1013 3.0903
Re 5.0678 3.0147 1.5953
Re 5.1013 1.0097 3.9381
Re 7.0728 3.0483 3.9381
Re 7.1064 1.0433 1.5953
Si 0.4236 7.3652 0.7706
Si 0.7509 4.4816 3.1134
Si 3.3071 7.6925 3.1134
Si 3.6345 4.8089 0.7706
Si 4.4816 3.3071 3.9150
Si 4.8089 0.4236 1.5722
Si 7.3652 3.6345 1.5722
Si 7.6925 0.7509 3.9150
```